Density functional theory data (GGA+U) for an optimized crystal structure of EuDyCr4O12.

Values from the calculation:
Calculated density ... 5.6 g/cm³
Total moment ... 12.000 μB per formula unit
Total energy ... -0.555 Ry/atom

Cell and atoms, written as CIF:
```
data_EuDyCr4O12
_chemical_formula_sum 'Eu2 Dy2 Cr8 O24'
_cell_length_a 7.6132
_cell_length_b 7.4595
_cell_length_c 7.3996
_cell_angle_alpha 90.00
_cell_angle_beta 90.00
_cell_angle_gamma 90.00
_space_group_name_H-M_alt 'A m m 2'
_space_group_IT_number 38
_space_group_name_Hall 'A 2 -2'
loop_
_atom_site_label
_atom_site_fract_x
_atom_site_fract_y
_atom_site_fract_z
_atom_site_occupancy
Eu1 0.0000 0.0000 0.0000 1
Dy1 0.5000 0.0000 0.5636 1
Cr1 0.2505 0.2420 0.2768 1
O1 0.0000 0.2100 0.2805 1
O2 0.2215 0.0000 0.7293 1
O3 0.2465 0.1997 0.0277 1
O4 0.2968 0.0000 0.3359 1
O5 0.5000 0.2172 0.7658 1
```